First-principles (GGA-PBE) data for an optimized crystal structure of FeOsCl2, as listed in Alexandria.

a = 7.0032 Å, b = 7.0032 Å, c = 7.0032 Å
α = 152.96°, β = 146.11°, γ = 43.88°
With the nearest neighbours (Å) after each atom.
Element x y z (fractional)
Fe1 0.0000 0.0000 0.0000  4 Os 2.62, 4 Cl 2.70
Os1 0.5000 0.5000 0.0000  4 Cl 2.41, 4 Fe 2.62
Cl1 0.3635 0.8635 0.5000  2 Os 2.41
Cl2 0.6365 0.1365 0.5000  2 Os 2.41

Summary:
Total magnetization   3.7 μB per formula unit
Formation energy (no corrections)   403 meV/atom
Offset from the most stable computed form   1.19 eV/f.u.
DFT total energy   -5.44 eV/atom

***

First-principles (GGA-PBE) data for an optimized crystal structure of Fe2OsCl, as listed in Alexandria.

a = 2.8053 Å, b = 2.8486 Å, c = 7.2965 Å
α = 90.00°, β = 90.00°, γ = 90.00°
With the nearest neighbours (Å) after each atom.
Element x y z (fractional)
Fe1 0.0000 0.0000 0.2291  2 Cl 2.42, 4 Os 2.61
Fe2 0.0000 0.0000 0.7709  2 Cl 2.42, 4 Os 2.61
Os1 0.5000 0.5000 0.0000  8 Fe 2.61, 4 Os 2.81-2.85
Cl1 0.5000 0.0000 0.5000  4 Fe 2.42

Summary:
Total magnetization   5.2 μB per formula unit
Formation energy (no corrections)   296 meV/atom
Offset from the most stable computed form   0.00 eV/f.u.
DFT total energy   -7.20 eV/atom

***

First-principles (GGA-PBE) data for an optimized crystal structure of FeOs2Cl, as listed in Alexandria.

a = 4.2607 Å, b = 4.2607 Å, c = 4.2607 Å
α = 60.00°, β = 60.00°, γ = 60.00°
With the nearest neighbours (Å) after each atom.
Element x y z (fractional)
Fe1 0.0000 0.0000 0.0000  8 Os 2.61
Os1 0.2500 0.2500 0.2500  4 Cl 2.61, 4 Fe 2.61
Os2 0.7500 0.7500 0.7500  4 Cl 2.61, 4 Fe 2.61
Cl1 0.5000 0.5000 0.5000  8 Os 2.61

Summary:
Total magnetization   1.5 μB per formula unit
Formation energy (no corrections)   1206 meV/atom
Offset from the most stable computed form   3.20 eV/f.u.
DFT total energy   -6.99 eV/atom

***

First-principles (GGA-PBE) data for an optimized crystal structure of FeOsCl2, as listed in Alexandria.

a = 4.4853 Å, b = 4.4853 Å, c = 4.4853 Å
α = 60.00°, β = 60.00°, γ = 60.00°
With the nearest neighbours (Å) after each atom.
Element x y z (fractional)
Fe1 0.0000 0.0000 0.0000  4 Cl 2.75, 4 Os 2.75
Os1 0.2500 0.2500 0.2500  4 Cl 2.75, 4 Fe 2.75
Cl1 0.5000 0.5000 0.5000  4 Cl 2.75, 4 Os 2.75
Cl2 0.7500 0.7500 0.7500  4 Cl 2.75, 4 Fe 2.75

Summary:
Total magnetization   1.9 μB per formula unit
Formation energy (no corrections)   1293 meV/atom
Offset from the most stable computed form   4.75 eV/f.u.
DFT total energy   -4.55 eV/atom

***

What is the DFT total energy in the third record? -6.99 eV/atom

***

Which formula does entry 3 have? FeOs2Cl